No. 1
VASP calculation (PBE-GGA) on an optimized crystal structure of CaBi2Sb.

Properties
The density of states at the Fermi level comes out at 1.7 states/eV/f.u. The uncorrected formation energy is 12.1 kJ/mol of atoms.

The structure in extended XYZ format:
```
4
Lattice="2.0718 1.1961 10.3329 -2.0718 1.1961 10.3329 0.0000 -2.3923 10.3329" Properties=species:S:1:pos:R:3 pbc="T T T"
Ca 0.0000 0.0000 0.0000
Bi 0.0000 0.0000 3.1950
Bi 0.0000 0.0000 27.8038
Sb 0.0000 0.0000 15.4994
```

***

No. 2
VASP calculation (PBE-GGA) on an optimized crystal structure of Na2MgAu2.

Properties
The density of states at the Fermi level comes out at 1.5 states/eV/f.u. The calculated formation energy comes out at -0.162 eV per atom. For the offset from the most stable computed form, the calculation gives 181 meV/atom.

The structure in extended XYZ format:
```
5
Lattice="-1.9883 1.9883 7.0897 1.9883 -1.9883 7.0897 1.9883 1.9883 -7.0897" Properties=species:S:1:pos:R:3 pbc="T T T"
Na 1.9883 0.0000 3.5448
Na 0.0000 1.9883 3.5448
Mg 0.0000 0.0000 0.0000
Au 0.0000 0.0000 5.7442
Au 0.0000 0.0000 8.4351
```

***

No. 3
VASP calculation (PBE-GGA) on an optimized crystal structure of InSbRu2.

Properties
The density of states at the Fermi level comes out at 2.0 states/eV/f.u. The uncorrected formation energy is 53.6 kJ/mol of atoms.

The structure in extended XYZ format:
```
8
Lattice="-3.5799 3.5799 3.0594 3.5799 -3.5799 3.0594 3.5799 3.5799 -3.0594" Properties=species:S:1:pos:R:3 pbc="T T T"
In 0.0000 0.0000 0.0000
In 0.0000 3.5799 1.5297
Sb 3.5799 0.0000 1.5297
Sb 0.0000 0.0000 3.0594
Ru 1.7899 -1.6125 2.2945
Ru 1.9674 1.7899 0.7648
Ru 1.7899 5.1924 -0.7648
Ru 1.6125 1.7899 3.8242
```

***

No. 4
VASP calculation (PBE-GGA) on an optimized crystal structure of Pu2TlPdS4.

Properties
The density of states at the Fermi level comes out at 16.4 states/eV/f.u. The uncorrected formation energy is -115.5 kJ/mol of atoms.

The structure in extended XYZ format:
```
16
Lattice="2.0128 -6.7194 0.0000 2.0128 6.7194 0.0000 0.0000 0.0000 13.9766" Properties=species:S:1:pos:R:3 pbc="T T T"
Pu 2.0128 4.9375 7.8911
Pu 2.0128 4.9375 13.0739
Pu 2.0128 -4.9375 0.9028
Pu 2.0128 -4.9375 6.0856
Tl 2.0128 1.5036 10.4825
Tl 2.0128 -1.5036 3.4942
Pd 2.0128 2.3055 3.4942
Pd 2.0128 -2.3055 10.4825
S 2.0128 5.7782 10.4825
S 2.0128 3.5313 1.4132
S 2.0128 3.5313 5.5751
S 2.0128 0.0000 0.0000
S 2.0128 0.0000 6.9883
S 2.0128 -3.5313 8.4015
S 2.0128 -3.5313 12.5634
S 2.0128 -5.7782 3.4942
```

***

No. 5
VASP calculation (PBE-GGA) on an optimized crystal structure of ReNCl.

Properties
The density of states at the Fermi level comes out at 1.7 states/eV/f.u. The uncorrected formation energy is -6.0 kJ/mol of atoms.

The structure in extended XYZ format:
```
6
Lattice="3.3964 0.0000 0.0000 -0.7232 4.0780 0.0000 -0.0031 -0.2582 8.1991" Properties=species:S:1:pos:R:3 pbc="T T T"
Re 0.5214 0.9014 0.6329
Re 2.1487 2.9184 7.5661
N 0.4348 2.9788 0.4744
N 2.2353 0.8411 7.7246
Cl 0.3682 2.8984 5.7222
Cl 2.3020 0.9214 2.4769
```

***

No. 6
VASP calculation (PBE-GGA) on an optimized crystal structure of Ca2LaCo.

Properties
The density of states at the Fermi level comes out at 3.2 states/eV/f.u. The calculated formation energy comes out at 0.071 eV per atom. For the offset from the most stable computed form, the calculation gives 35 meV/atom.

The structure in extended XYZ format:
```
4
Lattice="-1.8230 2.9767 5.5902 1.8230 -2.9767 5.5902 1.8230 2.9767 -5.5902" Properties=species:S:1:pos:R:3 pbc="T T T"
Ca 0.0000 0.0000 0.0000
Ca 0.0000 2.9767 1.9746
La 0.0000 0.0000 3.9191
Co 1.8230 0.0000 2.2422
```

***

No. 7
VASP calculation (PBE-GGA) on an optimized crystal structure of CeInPt.

Properties
The density of states at the Fermi level comes out at 4.2 states/eV/f.u. The calculated formation energy comes out at -0.933 eV per atom.

The structure in extended XYZ format:
```
9
Lattice="7.6421 0.0000 0.0000 -3.8211 6.6183 0.0000 0.0000 0.0000 4.0776" Properties=species:S:1:pos:R:3 pbc="T T T"
Ce -1.5722 2.7232 0.0000
Ce 3.1444 0.0000 0.0000
Ce 2.2488 3.8951 0.0000
In -2.8561 4.9469 2.0388
In 0.9650 1.6714 2.0388
In 5.7122 0.0000 2.0388
Pt 0.0000 0.0000 0.0000
Pt 0.0000 4.4122 2.0388
Pt 3.8211 2.2061 2.0388
```

***

No. 8
VASP calculation (PBE-GGA) on an optimized crystal structure of BaHfS3.

Properties
The density of states at the Fermi level comes out at 0.0 states/eV/f.u. The uncorrected formation energy is -162.4 kJ/mol of atoms.

The structure in extended XYZ format:
```
20
Lattice="6.7155 -5.0774 0.0000 6.7155 5.0774 0.0000 -0.0037 0.0000 7.0088" Properties=species:S:1:pos:R:3 pbc="T T T"
Ba 6.7127 3.3502 5.2566
Ba 6.7146 1.7288 1.7522
Ba 6.7127 -1.7288 5.2566
Ba 6.7146 -3.3502 1.7522
Hf 3.3582 0.5517 4.3834
Hf 3.3600 -0.5517 0.8791
Hf 10.0673 0.5517 6.1297
Hf 10.0692 -0.5517 2.6253
S 1.6170 0.6618 6.3233
S 3.3674 1.8984 2.1756
S 1.6188 -0.6618 2.8190
S 5.0961 0.6671 6.3189
S 3.3655 -1.8984 5.6800
S 5.0980 -0.6671 2.8145
S 8.3294 0.6671 4.1942
S 10.0618 1.8984 1.3287
S 8.3312 -0.6671 0.6899
S 11.8085 0.6618 4.1898
S 10.0600 -1.8984 4.8331
S 11.8103 -0.6618 0.6854
```

***

No. 9
VASP calculation (PBE-GGA) on an optimized crystal structure of CaScTi2H.

Properties
The density of states at the Fermi level comes out at 5.8 states/eV/f.u. The final energy is -5.298 eV per atom.

The structure in extended XYZ format:
```
5
Lattice="4.3286 0.0000 0.0000 0.0000 4.3286 0.0000 0.0000 0.0000 4.7631" Properties=species:S:1:pos:R:3 pbc="T T T"
Ca 0.0000 0.0000 0.0000
Sc 2.1643 2.1643 0.0000
Ti 0.0000 2.1643 2.3815
Ti 2.1643 0.0000 2.3815
H 0.0000 0.0000 2.3815
```

***

No. 10
VASP calculation (PBE-GGA) on an optimized crystal structure of InGaN2.

Properties
The density of states at the Fermi level comes out at 0.1 states/eV/f.u. The uncorrected formation energy is -11.4 kJ/mol of atoms.

The structure in extended XYZ format:
```
4
Lattice="3.3970 0.0000 0.0000 -1.6985 2.9418 0.0000 0.0000 0.0000 5.5606" Properties=species:S:1:pos:R:3 pbc="T T T"
In 0.0000 0.0000 0.0000
Ga 1.6985 0.9806 2.7663
N 0.0000 0.0000 3.3628
N 1.6985 0.9806 0.8227
```

***

No. 11
VASP calculation (PBE-GGA) on an optimized crystal structure of Al2CdH.

Properties
The density of states at the Fermi level comes out at 1.9 states/eV/f.u. For the offset from the most stable computed form, the calculation gives 212 meV/atom.

The structure in extended XYZ format:
```
4
Lattice="0.0000 3.1841 3.1841 3.1841 0.0000 3.1841 3.1841 3.1841 0.0000" Properties=species:S:1:pos:R:3 pbc="T T T"
Al 1.5920 1.5920 1.5920
Al 4.7761 4.7761 4.7761
Cd 0.0000 0.0000 0.0000
H 3.1841 3.1841 3.1841
```

***

No. 12
VASP calculation (PBE-GGA) on an optimized crystal structure of YTaCo.

Properties
The density of states at the Fermi level comes out at 4.0 states/eV/f.u. The calculated formation energy comes out at 0.284 eV per atom. For the offset from the most stable computed form, the calculation gives 458 meV/atom.

The structure in extended XYZ format:
```
3
Lattice="3.3585 0.0000 0.0000 -1.6793 2.9086 0.0000 0.0000 0.0000 6.2410" Properties=species:S:1:pos:R:3 pbc="T T T"
Y 0.0000 0.0000 0.0000
Ta 1.6793 0.9695 3.5116
Co 0.0000 1.9390 2.0937
```